InAgN2O: relaxed, GGA-PBEsol.

Cell: 4.2482 4.2482 4.1417 Å, 90.00 90.00 90.00°
Last column: nearest neighbours and their distance in Å.
Element x y z (fractional)
In: 0.0000 0.0000 0.0000  2 O 2.07, 4 N 2.12
Ag: 0.5000 0.5000 0.5000  8 N 2.97, 4 O 3.00
N: 0.0000 0.5000 0.0000  2 In 2.12
N: 0.5000 0.0000 0.0000  2 In 2.12
O: 0.0000 0.0000 0.5000  2 In 2.07

Properties
**Magnetic moment**: 3.9 μB/f.u.
**Uncorrected energy**: -0.323 Ry per atom
**Uncorrected formation energy**: 1.321 eV per atom